1.
# LiPuTlIn, relaxed, DFT PBE
data_LiPuTlIn
_cell_length_a 7.363
_cell_length_b 7.363
_cell_length_c 7.363
_cell_angle_alpha 90.00
_cell_angle_beta 90.00
_cell_angle_gamma 90.00
_space_group_name_H-M_alt 'F -4 3 m'
_space_group_IT_number 216
_space_group_name_Hall 'F -4 2 3'
loop_
_atom_site_label
_atom_site_type_symbol
_atom_site_fract_x
_atom_site_fract_y
_atom_site_fract_z
Li1 Li 0.000 0.000 0.000
Pu1 Pu 0.000 0.000 0.500
Tl1 Tl 0.250 0.250 0.250
In1 In 0.250 0.250 0.750
# **Crystal system**: cubic
# **Energy of formation from the pure elements**: -120 meV/atom
# **Polymorph energy (0 for the lowest one)**: 64 meV/atom


2.
# LiPuTlIn, relaxed, DFT PBE
data_LiPuTlIn
_cell_length_a 3.356
_cell_length_b 3.356
_cell_length_c 8.192
_cell_angle_alpha 90.00
_cell_angle_beta 90.00
_cell_angle_gamma 90.00
_space_group_name_H-M_alt 'P 4 m m'
_space_group_IT_number 99
loop_
_space_group_symop_operation_xyz
'x,y,z'
'-y,x,z'
'-x,-y,z'
'y,-x,z'
'-x,y,z'
'y,x,z'
'x,-y,z'
'-y,-x,z'
loop_
_atom_site_label
_atom_site_type_symbol
_atom_site_fract_x
_atom_site_fract_y
_atom_site_fract_z
Li1 Li 0.000 0.000 0.000
Pu1 Pu 0.000 0.000 0.504
Tl1 Tl 0.500 0.500 0.212
In1 In 0.500 0.500 0.788
# **Crystal system**: tetragonal
# **Energy of formation from the pure elements**: -184 meV/atom
# **Polymorph energy (0 for the lowest one)**: 0 meV/atom


3.
# LiTm2PuIn4, relaxed, DFT PBE
data_LiTm2PuIn4
_cell_length_a 5.1857
_cell_length_b 5.1857
_cell_length_c 25.9735
_cell_angle_alpha 90.00
_cell_angle_beta 90.00
_cell_angle_gamma 120.00
_space_group_name_H-M_alt 'R -3 m'
_space_group_IT_number 166
_space_group_name_Hall '-R 3 2"'
loop_
_atom_site_label
_atom_site_type_symbol
_atom_site_fract_x
_atom_site_fract_y
_atom_site_fract_z
Li1 Li 0.0000 0.0000 0.0000
Tm1 Tm 0.0000 0.0000 0.2510
Pu1 Pu 0.0000 0.0000 0.5000
In1 In 0.0000 0.0000 0.1211
In2 In 0.0000 0.0000 0.3718
# **Crystal system**: trigonal
# **Energy of formation from the pure elements**: -293 meV/atom


4.
# LiTmPuIn, relaxed, DFT PBE
data_LiTmPuIn
_cell_length_a 7.433
_cell_length_b 7.433
_cell_length_c 7.433
_cell_angle_alpha 90.00
_cell_angle_beta 90.00
_cell_angle_gamma 90.00
_space_group_name_H-M_alt 'F -4 3 m'
_space_group_IT_number 216
_space_group_name_Hall 'F -4 2 3'
loop_
_atom_site_label
_atom_site_type_symbol
_atom_site_fract_x
_atom_site_fract_y
_atom_site_fract_z
Li1 Li 0.000 0.000 0.000
Tm1 Tm 0.250 0.250 0.250
Pu1 Pu 0.250 0.250 0.750
In1 In 0.000 0.000 0.500
# **Crystal system**: cubic
# **Energy of formation from the pure elements**: -28 meV/atom


5.
# LiYPuIn, relaxed, DFT PBE
data_LiYPuIn
_cell_length_a 7.494
_cell_length_b 7.494
_cell_length_c 7.494
_cell_angle_alpha 90.00
_cell_angle_beta 90.00
_cell_angle_gamma 90.00
_space_group_name_H-M_alt 'F -4 3 m'
_space_group_IT_number 216
_space_group_name_Hall 'F -4 2 3'
loop_
_atom_site_label
_atom_site_type_symbol
_atom_site_fract_x
_atom_site_fract_y
_atom_site_fract_z
Li1 Li 0.000 0.000 0.000
Y1 Y 0.250 0.250 0.250
Pu1 Pu 0.250 0.250 0.750
In1 In 0.000 0.000 0.500
# **Crystal system**: cubic
# **Energy of formation from the pure elements**: -48 meV/atom


6.
# Rb2LiIn, relaxed, DFT PBE
data_Rb2LiIn
_cell_length_a 10.235
_cell_length_b 10.235
_cell_length_c 6.942
_cell_angle_alpha 90.00
_cell_angle_beta 90.00
_cell_angle_gamma 90.00
_space_group_name_H-M_alt 'I -4 2 d'
_space_group_IT_number 122
_space_group_name_Hall 'I -4 2bw'
loop_
_atom_site_label
_atom_site_type_symbol
_atom_site_fract_x
_atom_site_fract_y
_atom_site_fract_z
Rb1 Rb 0.237 0.250 0.125
Li1 Li 0.000 0.000 0.000
In1 In 0.000 0.000 0.500
# **Crystal system**: tetragonal
# **Energy of formation from the pure elements**: 226 meV/atom


7.
# RbLiIn2, relaxed, DFT PBE
data_RbLiIn2
_cell_length_a 7.978
_cell_length_b 7.978
_cell_length_c 7.978
_cell_angle_alpha 90.00
_cell_angle_beta 90.00
_cell_angle_gamma 90.00
_space_group_name_H-M_alt 'F m -3 m'
_space_group_IT_number 225
_space_group_name_Hall '-F 4 2 3'
loop_
_atom_site_label
_atom_site_type_symbol
_atom_site_fract_x
_atom_site_fract_y
_atom_site_fract_z
Rb1 Rb 0.000 0.000 0.000
Li1 Li 0.000 0.000 0.500
In1 In 0.250 0.250 0.250
# **Crystal system**: cubic
# **Energy of formation from the pure elements**: 129 meV/atom
# **Polymorph energy (0 for the lowest one)**: 294 meV/atom


8.
# Rb2LiIn2, relaxed, DFT PBE
data_Rb2LiIn2
_cell_length_a 7.900
_cell_length_b 7.900
_cell_length_c 6.360
_cell_angle_alpha 90.00
_cell_angle_beta 90.00
_cell_angle_gamma 90.00
_space_group_name_H-M_alt 'P 4/m b m'
_space_group_IT_number 127
_space_group_name_Hall '-P 4 2ab'
loop_
_atom_site_label
_atom_site_type_symbol
_atom_site_fract_x
_atom_site_fract_y
_atom_site_fract_z
Rb1 Rb 0.181 0.319 0.000
Li1 Li 0.000 0.000 0.500
In1 In 0.131 0.631 0.500
# **Crystal system**: tetragonal
# **Energy of formation from the pure elements**: 41 meV/atom


9.
# RbLiIn4, relaxed, DFT PBE
data_RbLiIn4
_cell_length_a 8.999
_cell_length_b 8.999
_cell_length_c 8.999
_cell_angle_alpha 90.00
_cell_angle_beta 90.00
_cell_angle_gamma 90.00
_space_group_name_H-M_alt 'F -4 3 m'
_space_group_IT_number 216
_space_group_name_Hall 'F -4 2 3'
loop_
_atom_site_label
_atom_site_type_symbol
_atom_site_fract_x
_atom_site_fract_y
_atom_site_fract_z
Rb1 Rb 0.000 0.000 0.000
Li1 Li 0.250 0.250 0.750
In1 In 0.125 0.125 0.375
# **Crystal system**: cubic
# **Energy of formation from the pure elements**: -32 meV/atom


10.
# Rb2LiIn7, relaxed, DFT PBE
data_Rb2LiIn7
_cell_length_a 5.045
_cell_length_b 5.045
_cell_length_c 12.477
_cell_angle_alpha 90.00
_cell_angle_beta 90.00
_cell_angle_gamma 90.00
_space_group_name_H-M_alt 'P -4 m 2'
_space_group_IT_number 115
loop_
_space_group_symop_operation_xyz
'x,y,z'
'y,-x,-z'
'-x,-y,z'
'-y,x,-z'
'-x,y,z'
'-y,-x,-z'
'x,-y,z'
'y,x,-z'
loop_
_atom_site_label
_atom_site_type_symbol
_atom_site_fract_x
_atom_site_fract_y
_atom_site_fract_z
Rb1 Rb 0.000 0.500 0.248
Li1 Li 0.500 0.500 0.000
In1 In 0.000 0.000 0.000
In2 In 0.000 0.000 0.500
In3 In 0.000 0.500 0.638
In4 In 0.000 0.500 0.875
In5 In 0.500 0.500 0.500
# **Crystal system**: tetragonal
# **Energy of formation from the pure elements**: -111 meV/atom


11.
# RbLi2In8, relaxed, DFT PBE
data_RbLi2In8
_cell_length_a 6.186
_cell_length_b 9.373
_cell_length_c 11.628
_cell_angle_alpha 90.00
_cell_angle_beta 90.00
_cell_angle_gamma 90.00
_space_group_name_H-M_alt 'C m m m'
_space_group_IT_number 65
_space_group_name_Hall '-C 2 2'
loop_
_atom_site_label
_atom_site_type_symbol
_atom_site_fract_x
_atom_site_fract_y
_atom_site_fract_z
Rb1 Rb 0.000 0.000 0.000
Li1 Li 0.000 0.000 0.364
In1 In 0.000 0.500 0.357
In2 In 0.250 0.250 0.228
In3 In 0.250 0.250 0.500
# **Crystal system**: orthorhombic
# **Energy of formation from the pure elements**: -70 meV/atom


12.
# RbLi2In2, relaxed, DFT PBE
data_RbLi2In2
_cell_length_a 5.365
_cell_length_b 5.365
_cell_length_c 10.439
_cell_angle_alpha 90.00
_cell_angle_beta 90.00
_cell_angle_gamma 90.00
_space_group_name_H-M_alt 'I 4/m m m'
_space_group_IT_number 139
_space_group_name_Hall '-I 4 2'
loop_
_atom_site_label
_atom_site_type_symbol
_atom_site_fract_x
_atom_site_fract_y
_atom_site_fract_z
Rb1 Rb 0.000 0.000 0.000
Li1 Li 0.000 0.500 0.250
In1 In 0.000 0.000 0.358
# **Crystal system**: tetragonal
# **Energy of formation from the pure elements**: -55 meV/atom
# **Polymorph energy (0 for the lowest one)**: 53 meV/atom


Number 1: DOS(E_F) 47.78 states/eV per cell. Number 2: DOS(E_F) 5.85 states/eV per cell. Number 3: DOS(E_F) 32.62 states/eV per cell. Number 4: DOS(E_F) 30.34 states/eV per cell. Number 5: DOS(E_F) 32.09 states/eV per cell. Number 6: DOS(E_F) 5.03 states/eV per cell. Number 7: DOS(E_F) 12.69 states/eV per cell. Number 8: DOS(E_F) 5.85 states/eV per cell. Number 9: DOS(E_F) 17.49 states/eV per cell. Number 10: DOS(E_F) 5.80 states/eV per cell. Number 11: DOS(E_F) 8.45 states/eV per cell. Number 12: DOS(E_F) 5.82 states/eV per cell.